Crystalline LiPmSmAu at its relaxed geometry. Source: the Alexandria database, functional PBE.

Cell and atoms, written as CIF:
```
data_LiPmSmAu
_chemical_formula_sum 'Li4 Pm4 Sm4 Au4'
_symmetry_space_group_name_H-M 'F -4 3 m'
_symmetry_Int_Tables_number 216
_symmetry_space_group_name_Hall 'F -4 2 3'
_cell_length_a 7.394
_cell_length_b 7.394
_cell_length_c 7.394
_cell_angle_alpha 90.00
_cell_angle_beta 90.00
_cell_angle_gamma 90.00
loop_
_atom_site_label
_atom_site_type_symbol
_atom_site_fract_x
_atom_site_fract_y
_atom_site_fract_z
Li1 Li 0.000 0.000 0.000
Pm1 Pm 0.250 0.250 0.250
Sm1 Sm 0.250 0.250 0.750
Au1 Au 0.000 0.000 0.500
```

Calculated values
formation enthalpy at 0 K = -346 meV per atom
VASP energy = -64.2 eV per cell
magnetization = 0.0 μB per formula unit